# 1
Density functional theory data (PBE) for a relaxed structure of ScMoBr2.

Lattice parameters (Å, degrees): 3.1847 5.9903 8.9766 90.00 90.00 90.00
Last column: nearest neighbours and their distance in Å.
Space group Cmmm (No. 65)
Inequivalent atoms, fractional coordinates:
Sc 0.0000 0.0000 0.0000 [2 per cell]  4 Br 2.84
Mo 0.0000 0.0000 0.5000 [2 per cell]  4 Br 2.66
Br 0.0000 0.5000 0.2620 [4 per cell]  2 Mo 2.66, 2 Sc 2.84

Total moment: 1.26 μB/f.u.
Formation energy (no corrections): 230 meV/atom
Distance to the lowest polymorph of the same formula: 589 meV/atom
VASP energy: -4.8971 eV per atom

=====

# 2
Density functional theory data (PBE) for a relaxed structure of Zn2RePt.

Lattice parameters (Å, degrees): 2.6823 4.3641 5.0733 90.00 92.60 90.00
Last column: nearest neighbours and their distance in Å.
Space group P2/m (No. 10)
Inequivalent atoms, fractional coordinates:
Zn 0.1557 0.0000 0.2385 [2 per cell]  4 Zn 2.52-2.82, 2 Pt 2.60, 2 Re 2.68
Re 0.5000 0.5000 0.0000 [1 per cell]  4 Zn 2.68, 2 Re 2.68, 4 Pt 2.82-2.92
Pt 0.0000 0.5000 0.5000 [1 per cell]  4 Zn 2.60, 2 Pt 2.68, 2 Re 2.82

Energy of formation: 0.0 eV/f.u.
Total moment: 0.00 μB/f.u.
Distance to the lowest polymorph of the same formula: 83 meV/atom
VASP energy: -5.2488 eV per atom

=====

# 3
Density functional theory data (PBE) for a relaxed structure of Ba2MgInH.

Lattice parameters (Å, degrees): 5.7582 5.7582 4.6794 90.00 90.00 90.00
Last column: nearest neighbours and their distance in Å.
Space group P4/mmm (No. 123)
Inequivalent atoms, fractional coordinates:
Ba 0.0000 0.5000 0.0000 [2 per cell]  2 H 2.88
Mg 0.0000 0.0000 0.5000 [1 per cell]  8 Ba 3.71, 4 In 4.07
In 0.5000 0.5000 0.5000 [1 per cell]  2 H 2.34
H 0.5000 0.5000 0.0000 [1 per cell]  2 In 2.34

Total moment: 0.00 μB/f.u.
Distance to the lowest polymorph of the same formula: 69 meV/atom
VASP energy: -2.5175 eV per atom

=====

# 4
Density functional theory data (PBE) for a relaxed structure of CdNi3N.

Lattice parameters (Å, degrees): 5.2176 5.2186 5.6654 106.03 103.02 117.00
Last column: nearest neighbours and their distance in Å.
Space group P1 (No. 1)
Inequivalent atoms, fractional coordinates:
Cd 0.0000 0.0000 0.0000 [1 per cell]  1 N 2.67, 11 Ni 2.73-2.94, 1 Cd 2.93
Cd 0.4330 0.9027 0.3334 [1 per cell]  11 Ni 2.70-2.89, 1 Cd 2.93
Ni 0.0084 0.9964 0.5024 [1 per cell]  1 N 1.88
Ni 0.4049 0.8953 0.8178 [1 per cell]  2 N 1.82-1.91
Ni 0.4893 0.4864 0.9758 [1 per cell]  2 N 1.79-1.94
Ni 0.5077 0.4956 0.5021 [1 per cell]  1 N 1.88
Ni 0.9235 0.4140 0.8184 [1 per cell]  2 N 1.82-1.91
Ni 0.9308 0.4513 0.3799 [1 per cell]  2 N 1.79-1.91
N 0.2123 0.4431 0.6541 [1 per cell]  6 Ni 1.88-1.94
N 0.7144 0.3145 0.0292 [1 per cell]  4 Ni 1.79-1.82

Total moment: 0.00 μB/f.u.
Formation energy (no corrections): 46 meV/atom
Distance to the lowest polymorph of the same formula: 110 meV/atom
VASP energy: -5.2713 eV per atom

=====

# 5
Density functional theory data (PBE) for a relaxed structure of Zr2ZnIn.

Lattice parameters (Å, degrees): 11.2218 3.2706 5.0665 90.00 116.76 90.00
Last column: nearest neighbours and their distance in Å.
Space group Cm (No. 8)
Inequivalent atoms, fractional coordinates:
Zr 0.0000 0.0000 0.0000 [2 per cell]  4 Zn 3.01-3.02, 4 Zr 3.09-3.27, 2 In 3.19
Zr 0.2380 0.0000 0.7374 [2 per cell]  2 Zn 2.92, 4 In 3.03-3.04, 2 Zr 3.09
Zn 0.4972 0.0000 0.4980 [2 per cell]  2 In 2.78, 6 Zr 2.92-3.02
In 0.2732 0.5000 0.2723 [2 per cell]  2 Zn 2.78, 4 Zr 3.03-3.04

Energy of formation: -0.9 eV/f.u.
Total moment: 0.00 μB/f.u.
VASP energy: -5.5025 eV per atom

=====

# 6
Density functional theory data (PBE) for a relaxed structure of La2TlGeRu.

Lattice parameters (Å, degrees): 5.4821 5.4821 4.8275 90.00 90.00 90.00
Last column: nearest neighbours and their distance in Å.
Space group P4/mmm (No. 123)
Inequivalent atoms, fractional coordinates:
La 0.0000 0.5000 0.0000 [2 per cell]  2 Ru 2.74
Tl 0.0000 0.0000 0.5000 [1 per cell]  8 La 3.65, 4 Ge 3.88
Ge 0.5000 0.5000 0.5000 [1 per cell]  2 Ru 2.41
Ru 0.5000 0.5000 0.0000 [1 per cell]  2 Ge 2.41

Energy of formation: -2.0 eV/f.u.
Total moment: 0.00 μB/f.u.
VASP energy: -5.6212 eV per atom

=====

# 7
Density functional theory data (PBE) for a relaxed structure of Pm2Ag6Ge3.

Lattice parameters (Å, degrees): 7.9074 7.9074 4.2785 90.00 90.00 120.00
Last column: nearest neighbours and their distance in Å.
Space group P-62m (No. 189)
Inequivalent atoms, fractional coordinates:
Pm 0.3333 0.6667 0.0000 [2 per cell]  6 Ge 3.25, 9 Ag 3.27-3.56
Ag 0.0000 0.2046 0.0000 [3 per cell]  2 Ge 2.59, 2 Ag 2.80
Ag 0.0000 0.7144 0.5000 [3 per cell]  3 Ge 2.57-2.76
Ge 0.0000 0.3890 0.5000 [3 per cell]  5 Ag 2.57-2.76

Energy of formation: -2.8 eV/f.u.
Total moment: 0.00 μB/f.u.
VASP energy: -3.9348 eV per atom

=====

# 8
Density functional theory data (PBE) for a relaxed structure of KSc2Hg2.

Lattice parameters (Å, degrees): 5.3524 5.3524 10.8477 90.00 90.00 90.00
Last column: nearest neighbours and their distance in Å.
Space group I4/mmm (No. 139)
Inequivalent atoms, fractional coordinates:
K 0.0000 0.0000 0.0000 [2 per cell]  10 Sc 3.78-4.13, 8 Hg 3.81
Sc 0.0000 0.0000 0.3480 [4 per cell]  4 Hg 2.88
Hg 0.0000 0.5000 0.2500 [4 per cell]  4 Sc 2.88

Energy of formation: 0.5 eV/f.u.
Total moment: 1.24 μB/f.u.
Distance to the lowest polymorph of the same formula: 233 meV/atom
VASP energy: -2.7713 eV per atom